Entry 1:
{"formula": "Pr2YEr5", "functional": "GGA-PBE", "state": "relaxed", "lattice": [[5.046, 0.000, 0.000], [0.000, 7.133, 0.000], [0.000, 0.000, 14.267]], "species": ["Er", "Er", "Er", "Er", "Er", "Er", "Er", "Er", "Er", "Er", "Y", "Y", "Pr", "Pr", "Pr", "Pr"], "fractional_positions": [[0.000, 0.500, 0.251], [0.000, 0.000, 0.249], [0.000, 0.500, 0.500], [0.500, 0.750, 0.626], [0.000, 0.000, 0.000], [0.500, 0.250, 0.874], [0.500, 0.750, 0.126], [0.000, 0.000, 0.751], [0.000, 0.500, 0.749], [0.500, 0.250, 0.374], [0.000, 0.500, 0.000], [0.000, 0.000, 0.500], [0.500, 0.249, 0.126], [0.500, 0.751, 0.874], [0.500, 0.749, 0.374], [0.500, 0.251, 0.626]]}

Entry 2:
{"formula": "Pr9Y2Er3", "functional": "GGA-PBE", "state": "relaxed", "lattice": [[-3.908, 8.136, 1.033], [-2.173, -5.212, -7.116], [-10.432, -5.971, 7.560]], "species": ["Er", "Er", "Er", "Er", "Er", "Er", "Pr", "Pr", "Pr", "Pr", "Pr", "Pr", "Pr", "Pr", "Pr", "Pr", "Pr", "Pr", "Pr", "Pr", "Pr", "Pr", "Pr", "Pr", "Y", "Y", "Y", "Y"], "fractional_positions": [[0.828, 0.077, 0.750], [0.248, 0.172, 0.750], [0.752, 0.828, 0.250], [0.923, 0.752, 0.750], [0.172, 0.923, 0.250], [0.077, 0.248, 0.250], [0.868, 0.272, 0.043], [0.921, 0.518, 0.250], [0.597, 0.079, 0.250], [0.518, 0.597, 0.750], [0.272, 0.404, 0.957], [0.132, 0.728, 0.957], [0.596, 0.868, 0.543], [0.079, 0.482, 0.750], [0.272, 0.404, 0.543], [0.728, 0.596, 0.043], [0.404, 0.132, 0.457], [0.403, 0.921, 0.750], [0.482, 0.403, 0.250], [0.868, 0.272, 0.457], [0.596, 0.868, 0.957], [0.404, 0.132, 0.043], [0.132, 0.728, 0.543], [0.728, 0.596, 0.457], [0.667, 0.333, 0.642], [0.333, 0.667, 0.358], [0.333, 0.667, 0.142], [0.667, 0.333, 0.858]]}

Entry 3:
{"formula": "PrYEr2", "functional": "GGA-PBE", "state": "relaxed", "lattice": [[3.605, 0.000, 0.000], [1.803, 3.122, 0.000], [1.803, 1.041, 11.522]], "species": ["Y", "Er", "Er", "Pr"], "fractional_positions": [[0.500, 0.500, 0.499], [0.085, 0.085, 0.746], [0.249, 0.249, 0.254], [0.666, 0.666, 0.001]]}

Entry 4:
{"formula": "PrY8Er6", "functional": "GGA-PBE", "state": "relaxed", "lattice": [[6.542, 0.000, 0.000], [0.000, 8.168, -4.716], [0.000, 0.000, 9.432]], "species": ["Y", "Y", "Y", "Y", "Y", "Y", "Y", "Y", "Pr", "Er", "Er", "Er", "Er", "Er", "Er"], "fractional_positions": [[0.902, 0.340, 0.028], [0.824, 0.333, 0.667], [0.176, 0.667, 0.333], [0.098, 0.312, 0.340], [0.098, 0.028, 0.688], [0.098, 0.660, 0.972], [0.902, 0.688, 0.660], [0.902, 0.972, 0.312], [0.500, 0.000, 0.000], [0.592, 0.907, 0.586], [0.408, 0.586, 0.679], [0.408, 0.321, 0.907], [0.408, 0.093, 0.414], [0.592, 0.679, 0.093], [0.592, 0.414, 0.321]]}

Entry 5:
{"formula": "Pr4YEr7", "functional": "GGA-PBE", "state": "relaxed", "lattice": [[-3.420, -2.366, -5.460], [3.824, -5.175, -1.401], [-7.543, -9.138, -1.064]], "species": ["Er", "Er", "Er", "Er", "Er", "Er", "Er", "Pr", "Pr", "Pr", "Pr", "Y"], "fractional_positions": [[0.199, 0.488, 0.048], [0.724, 0.185, 0.380], [0.943, 0.681, 0.355], [0.276, 0.815, 0.620], [0.500, 0.000, 0.000], [0.057, 0.319, 0.645], [0.801, 0.512, 0.952], [0.694, 0.833, 0.693], [0.520, 0.639, 0.287], [0.480, 0.361, 0.713], [0.306, 0.167, 0.307], [0.000, 0.000, 0.000]]}

Entry 6:
{"formula": "Pr4Y4Er3", "functional": "GGA-PBE", "state": "relaxed", "lattice": [[-1.865, 2.806, 1.128], [-4.807, -2.925, -0.670], [-2.056, -6.046, 17.243]], "species": ["Y", "Y", "Y", "Y", "Er", "Er", "Er", "Pr", "Pr", "Pr", "Pr"], "fractional_positions": [[0.733, 0.733, 0.534], [0.409, 0.908, 0.182], [0.267, 0.267, 0.466], [0.591, 0.092, 0.818], [0.000, 0.000, 0.000], [0.863, 0.363, 0.274], [0.137, 0.637, 0.726], [0.320, 0.820, 0.359], [0.454, 0.453, 0.092], [0.546, 0.547, 0.908], [0.680, 0.180, 0.641]]}

no.,ΔH_f (0 K) (eV/atom)
1,0.026
2,0.239
3,0.010
4,0.236
5,0.088
6,0.056